Entry 1:
A plane-wave DFT calculation with GGA-PBE was carried out for an optimized crystal structure of Li2GeCl.

Computed properties:
Energy, eV/atom: -3.171
ΔE to the lowest computed polymorph, eV per formula unit: 0.00

Cell and atoms, written as extended XYZ:
```
8
Lattice="6.509 0.000 0.000 0.000 6.509 0.000 3.255 3.255 3.907" Properties=species:S:1:pos:R:3 pbc="T T T"
Ge 0.000 0.000 0.000
Ge 6.509 3.255 1.954
Li 4.532 1.627 0.977
Li 1.977 4.882 0.977
Li 4.882 5.231 2.930
Li 8.136 7.787 2.930
Cl 3.255 3.255 0.000
Cl 3.255 6.509 1.954
```

Entry 2:
A plane-wave DFT calculation with GGA-PBE was carried out for an optimized crystal structure of LiGe3Cl.

Computed properties:
Energy, eV/atom: -3.098
ΔE to the lowest computed polymorph, eV per formula unit: 0.00

Cell and atoms, written as extended XYZ:
```
5
Lattice="-3.635 2.997 -0.515 -2.954 -3.290 1.706 0.721 1.629 4.392" Properties=species:S:1:pos:R:3 pbc="T T T"
Ge -1.477 -1.645 0.853
Ge 0.361 0.814 2.196
Ge -1.817 1.499 -0.257
Li 0.000 0.000 0.000
Cl -2.934 0.668 2.791
```

> Which formula does entry 2 have?

LiGe3Cl